[1]
DFT (PBE) results for InAsW4N2 after structural relaxation.

Cell: 2.947 2.947 14.511 Å, 90.00 90.00 120.00°
Positions (direct):
In 0.000 0.000 0.000
As 0.667 0.333 0.500
W 0.000 0.000 0.360
W 0.000 0.000 0.640
W 0.667 0.333 0.168
W 0.667 0.333 0.832
N 0.333 0.667 0.263
N 0.333 0.667 0.737

## Properties
Symmetry: P-6m2, No. 187


[2]
DFT (PBE) results for BaTbPO after structural relaxation.

Cell: 4.982 4.982 9.306 Å, 90.00 90.00 90.00°
Positions (direct):
Ba 0.250 0.250 0.092
Ba 0.750 0.750 0.908
Tb 0.250 0.750 0.500
Tb 0.750 0.250 0.500
P 0.250 0.250 0.620
P 0.750 0.750 0.380
O 0.250 0.750 0.000
O 0.750 0.250 0.000

## Properties
Distance to the lowest polymorph of the same formula, eV/atom: 0.506
Symmetry: P4/nmm, No. 129


[3]
DFT (PBE) results for YAlCoAg after structural relaxation.

Cell: 6.643 6.643 6.643 Å, 90.00 90.00 90.00°
Positions (direct):
Y 0.000 0.000 0.000
Y 0.000 0.500 0.500
Y 0.500 0.000 0.500
Y 0.500 0.500 0.000
Al 0.250 0.250 0.250
Al 0.250 0.750 0.750
Al 0.750 0.250 0.750
Al 0.750 0.750 0.250
Co 0.000 0.000 0.500
Co 0.000 0.500 0.000
Co 0.500 0.000 0.000
Co 0.500 0.500 0.500
Ag 0.250 0.250 0.750
Ag 0.250 0.750 0.250
Ag 0.750 0.250 0.250
Ag 0.750 0.750 0.750

## Properties
Distance to the lowest polymorph of the same formula, eV/atom: 0.190
Symmetry: F-43m, No. 216


[4]
DFT (PBE) results for SrLiZnAu2 after structural relaxation.

Cell: 4.204 4.204 12.335 Å, 90.00 90.00 90.00°
Positions (direct):
Sr 0.000 0.000 0.000
Sr 0.500 0.500 0.500
Li 0.000 0.500 0.250
Li 0.500 0.000 0.750
Zn 0.000 0.500 0.750
Zn 0.500 0.000 0.250
Au 0.000 0.000 0.384
Au 0.000 0.000 0.616
Au 0.500 0.500 0.116
Au 0.500 0.500 0.884

## Properties
Symmetry: I-4m2, No. 119


[5]
DFT (PBE) results for Ba3SrHg2 after structural relaxation.

Cell: 4.197 4.197 14.977 Å, 90.00 90.00 90.00°
Positions (direct):
Ba 0.000 0.000 0.000
Ba 0.000 0.000 0.267
Ba 0.500 0.500 0.759
Sr 0.500 0.500 0.500
Hg 0.000 0.000 0.622
Hg 0.500 0.500 0.131

## Properties
Symmetry: P4mm, No. 99


[6]
DFT (PBE) results for CsNpAl after structural relaxation.

Cell: 7.346 7.346 7.346 Å, 90.00 90.00 90.00°
Positions (direct):
Cs 0.000 0.000 0.000
Cs 0.000 0.500 0.500
Cs 0.500 0.000 0.500
Cs 0.500 0.500 0.000
Np 0.250 0.250 0.250
Np 0.250 0.750 0.750
Np 0.750 0.250 0.750
Np 0.750 0.750 0.250
Al 0.250 0.250 0.750
Al 0.250 0.750 0.250
Al 0.750 0.250 0.250
Al 0.750 0.750 0.750

## Properties
Symmetry: F-43m, No. 216


Computed calculated total energy, in the same sequence as the records: -9.166 -5.756 -5.012 -2.868 -1.717 -4.143 eV per atom.
Computed V, in the same sequence as the records: 13.64 28.87 18.32 21.80 43.97 33.04 A^3/atom.